1.
First-principles (PBE) data for a relaxed structure of TlTcTe2, as listed in Alexandria.

## Properties
total energy	-18.60	eV per cell
crystal system	orthorhombic

Structure (extended XYZ):
```
4
Lattice="3.410 0.000 0.000 0.000 5.195 -0.002 0.000 2.600 6.080" Properties=species:S:1:pos:R:3 pbc="T T T"
Te 1.705 1.625 0.830
Tc 1.705 4.223 0.618
Tl 0.000 4.220 2.993
Te 0.000 6.820 4.674
```



2.
First-principles (PBE) data for a relaxed structure of Tl2TcTe, as listed in Alexandria.

## Properties
total energy	-15.45	eV per cell
crystal system	orthorhombic

Structure (extended XYZ):
```
4
Lattice="5.962 -0.016 0.000 -2.500 5.412 0.000 0.000 0.000 3.171" Properties=species:S:1:pos:R:3 pbc="T T T"
Tc 2.981 -0.008 1.585
Te -1.250 2.706 1.585
Tl 1.731 2.698 0.000
Tl 0.000 0.000 0.000
```



3.
First-principles (PBE) data for a relaxed structure of TlTcTe2, as listed in Alexandria.

## Properties
total energy	-16.66	eV per cell
crystal system	trigonal

Structure (extended XYZ):
```
4
Lattice="11.649 -0.006 -0.004 11.203 3.194 -0.004 11.203 1.563 2.785" Properties=species:S:1:pos:R:3 pbc="T T T"
Tc 0.000 0.000 0.000
Tl 17.028 2.375 1.389
Te 2.550 0.356 0.208
Te 31.506 4.394 2.570
```



4.
First-principles (PBE) data for a relaxed structure of TlTcTe2, as listed in Alexandria.

## Properties
total energy	-15.60	eV per cell
crystal system	cubic

Structure (extended XYZ):
```
4
Lattice="5.247 0.000 0.000 2.624 4.544 0.000 2.624 1.515 4.284" Properties=species:S:1:pos:R:3 pbc="T T T"
Te 0.000 0.000 0.000
Tc 5.247 3.029 2.142
Tl 7.871 4.544 3.213
Te 2.624 1.515 1.071
```



5.
First-principles (PBE) data for a relaxed structure of TlTcTe2, as listed in Alexandria.

## Properties
total energy	-18.48	eV per cell
crystal system	monoclinic

Structure (extended XYZ):
```
4
Lattice="-6.017 -2.794 1.544 -3.784 -4.700 3.160 -3.411 0.536 5.345" Properties=species:S:1:pos:R:3 pbc="T T T"
Te -9.963 -5.099 7.752
Tc -2.991 -2.114 1.639
Tl -7.235 -3.918 5.375
Te -9.432 -6.801 5.011
```



6.
First-principles (PBE) data for a relaxed structure of TlTcTe2, as listed in Alexandria.

## Properties
total energy	-16.31	eV per cell
crystal system	monoclinic

Structure (extended XYZ):
```
4
Lattice="-4.441 5.301 -1.915 -0.783 -2.677 4.361 -0.099 3.136 1.933" Properties=species:S:1:pos:R:3 pbc="T T T"
Tc -2.612 1.312 1.223
Tl -0.441 0.229 3.147
Te -2.270 4.219 0.009
Te 0.000 0.000 0.000
```



7.
First-principles (PBE) data for a relaxed structure of TlTcTe2, as listed in Alexandria.

## Properties
total energy	-18.92	eV per cell
crystal system	orthorhombic

Structure (extended XYZ):
```
4
Lattice="-3.788 -8.159 4.657 0.275 -9.698 2.911 2.821 9.561 -1.797" Properties=species:S:1:pos:R:3 pbc="T T T"
Te -1.434 -4.129 3.477
Te -0.322 -1.637 0.694
Tc 0.849 -3.620 2.062
Tl -1.542 -7.838 3.322
```



8.
First-principles (PBE) data for a relaxed structure of TlTcTe, as listed in Alexandria.

## Properties
total energy	-15.12	eV per cell
crystal system	trigonal

Structure (extended XYZ):
```
3
Lattice="3.468 0.000 0.000 -1.734 3.003 0.000 0.000 0.000 6.736" Properties=species:S:1:pos:R:3 pbc="T T T"
Tc 0.000 0.000 0.155
Te 1.734 1.001 1.840
Tl 0.000 2.002 4.741
```



9.
First-principles (PBE) data for a relaxed structure of Tl2TcTe, as listed in Alexandria.

## Properties
total energy	-17.60	eV per cell
crystal system	tetragonal

Structure (extended XYZ):
```
4
Lattice="-3.210 -0.789 0.075 0.681 -2.585 1.946 -1.123 5.273 7.398" Properties=species:S:1:pos:R:3 pbc="T T T"
Tl -0.015 0.071 0.099
Tl -1.599 -0.117 3.213
Tc -0.583 2.736 3.838
Te -2.017 1.846 5.967
```



10.
First-principles (PBE) data for a relaxed structure of TlTcTe2, as listed in Alexandria.

## Properties
total energy	-18.80	eV per cell
crystal system	monoclinic

Structure (extended XYZ):
```
4
Lattice="3.276 0.000 0.000 0.000 3.279 0.054 0.000 3.320 9.420" Properties=species:S:1:pos:R:3 pbc="T T T"
Tl 1.638 1.650 2.369
Te 0.000 3.282 8.742
Te 0.000 3.338 5.416
Tc 1.638 4.950 7.106
```



11.
First-principles (PBE) data for a relaxed structure of TlTcTe2, as listed in Alexandria.

## Properties
total energy	-16.10	eV per cell
crystal system	tetragonal

Structure (extended XYZ):
```
4
Lattice="6.222 -0.032 0.000 3.115 5.386 0.000 -4.668 -2.677 3.123" Properties=species:S:1:pos:R:3 pbc="T T T"
Tc 3.111 -0.016 1.561
Tl 4.668 2.677 0.000
Te 1.557 2.693 1.561
Te 0.000 0.000 0.000
```



12.
First-principles (PBE) data for a relaxed structure of Tl2TcTe, as listed in Alexandria.

## Properties
total energy	-31.13	eV per cell
crystal system	tetragonal

Structure (extended XYZ):
```
8
Lattice="-0.813 0.379 4.165 4.135 -0.561 0.858 3.381 11.481 1.794" Properties=species:S:1:pos:R:3 pbc="T T T"
Tl 3.322 2.570 1.537
Tl 0.860 3.034 3.127
Tl 5.411 8.455 5.733
Tc 1.661 -0.091 2.511
Te 0.000 0.000 0.000
Te 2.115 5.884 4.235
Tc 4.588 5.414 2.581
Tl 3.813 8.538 3.235
```



no.,distance to the lowest polymorph of the same formula (meV per atom),ΔE_f (raw) (meV/atom)
1,83,105
2,538,698
3,566,588
4,832,854
5,112,134
6,655,677
7,1,23
8,37,251
9,0,161
10,33,55
11,707,728
12,508,669